Computed, not measured: a geometry-optimized Rb2TaPdS4 structure at the PBE level of DFT. Values from VASP.

Calculated values
Space group   No. 70
Raw formation energy   -1.01 eV per atom
DFT total energy   -43.6 eV/f.u.
Fermi-level density of states   14.2 states/eV/cell
Crystal system   orthorhombic

```
&SYSTEM
  ibrav = 0, nat = 16, ntyp = 4
/
ATOMIC_SPECIES
Rb 85.47 Rb.upf
S 32.06 S.upf
Ta 180.95 Ta.upf
Pd 106.42 Pd.upf
ATOMIC_POSITIONS crystal
Rb 0.928 0.500 0.143
Rb 0.178 0.000 0.643
Rb 0.822 0.000 0.357
Rb 0.572 0.500 0.857
S 0.827 0.695 0.609
S 0.619 0.195 0.109
S 0.564 0.305 0.609
S 0.923 0.805 0.891
S 0.131 0.305 0.391
S 0.478 0.695 0.391
S 0.272 0.805 0.109
S 0.186 0.195 0.891
Ta 0.000 0.000 0.000
Ta 0.750 0.500 0.500
Pd 0.500 0.000 0.000
Pd 0.250 0.500 0.500
CELL_PARAMETERS angstrom
-1.354 -2.870 -4.914
-4.318 -5.945 1.180
-10.572 5.490 -3.776
```

=====

Computed, not measured: a geometry-optimized Rb2TePdS4 structure at the PBE level of DFT. Values from VASP.

Calculated values
Space group   No. 70
Raw formation energy   -0.35 eV per atom
DFT total energy   -29.6 eV/f.u.
Fermi-level density of states   5.1 states/eV/cell
Crystal system   orthorhombic

```
&SYSTEM
  ibrav = 0, nat = 16, ntyp = 4
/
ATOMIC_SPECIES
Rb 85.47 Rb.upf
S 32.06 S.upf
Te 127.60 Te.upf
Pd 106.42 Pd.upf
ATOMIC_POSITIONS crystal
Rb 0.184 0.000 0.632
Rb 0.566 0.500 0.868
Rb 0.816 0.000 0.368
Rb 0.934 0.500 0.132
S 0.932 0.787 0.866
S 0.281 0.787 0.134
S 0.202 0.213 0.866
S 0.469 0.713 0.366
S 0.548 0.287 0.634
S 0.165 0.287 0.366
S 0.818 0.713 0.634
S 0.585 0.213 0.134
Te 0.500 0.000 0.000
Te 0.250 0.500 0.500
Pd 0.750 0.500 0.500
Pd 0.000 0.000 0.000
CELL_PARAMETERS angstrom
5.336 0.000 0.000
2.668 7.811 0.000
2.668 0.000 10.923
```

=====

Computed, not measured: a geometry-optimized Rb3Th3PdS8 structure at the PBE level of DFT. Values from VASP.

Calculated values
Space group   No. 12
Raw formation energy   -1.51 eV per atom
DFT total energy   -86.0 eV/f.u.
Fermi-level density of states   3.5 states/eV/cell
Crystal system   monoclinic

```
&SYSTEM
  ibrav = 0, nat = 15, ntyp = 4
/
ATOMIC_SPECIES
S 32.06 S.upf
Rb 85.47 Rb.upf
Th 232.04 Th.upf
Pd 106.42 Pd.upf
ATOMIC_POSITIONS crystal
S 0.206 0.413 0.665
S 0.249 0.949 0.700
S 0.300 0.051 0.300
S 0.751 0.051 0.300
S 0.794 0.587 0.335
S 0.700 0.949 0.700
S 0.266 0.531 0.299
S 0.734 0.469 0.701
Rb 0.500 0.500 0.000
Rb 0.000 0.500 0.000
Rb 0.000 0.000 0.000
Th 0.500 0.000 0.500
Th 0.000 0.500 0.500
Th 0.500 0.500 0.500
Pd 0.000 0.000 0.500
CELL_PARAMETERS angstrom
-7.607 2.240 2.974
5.291 -4.215 4.647
2.017 8.657 -1.360
```

=====

Computed, not measured: a geometry-optimized Rb3Th2PdS6 structure at the PBE level of DFT. Values from VASP.

Calculated values
Space group   No. 12
Raw formation energy   -1.42 eV per atom
DFT total energy   -64.7 eV/f.u.
Fermi-level density of states   1.2 states/eV/cell
Crystal system   monoclinic

```
&SYSTEM
  ibrav = 0, nat = 12, ntyp = 4
/
ATOMIC_SPECIES
S 32.06 S.upf
Th 232.04 Th.upf
Rb 85.47 Rb.upf
Pd 106.42 Pd.upf
ATOMIC_POSITIONS crystal
S 0.430 0.063 0.208
S 0.257 0.257 0.828
S 0.937 0.570 0.792
S 0.063 0.430 0.208
S 0.570 0.937 0.792
S 0.743 0.743 0.172
Th 0.667 0.333 0.000
Th 0.333 0.667 0.000
Rb 0.847 0.153 0.500
Rb 0.153 0.847 0.500
Rb 0.500 0.500 0.500
Pd 0.000 0.000 0.000
CELL_PARAMETERS angstrom
-0.693 -4.102 6.004
6.007 -0.147 -4.153
1.419 6.946 3.641
```

=====

Computed, not measured: a geometry-optimized RbTiPdS2 structure at the PBE level of DFT. Values from VASP.

Calculated values
Space group   No. 67
Raw formation energy   -1.09 eV per atom
DFT total energy   -27.8 eV/f.u.
Fermi-level density of states   3.3 states/eV/cell
Crystal system   orthorhombic

```
&SYSTEM
  ibrav = 0, nat = 10, ntyp = 4
/
ATOMIC_SPECIES
Rb 85.47 Rb.upf
Pd 106.42 Pd.upf
Ti 47.87 Ti.upf
S 32.06 S.upf
ATOMIC_POSITIONS crystal
Rb 0.212 0.750 0.500
Rb 0.788 0.250 0.500
Pd 0.000 0.000 0.000
Pd 0.000 0.500 0.000
Ti 0.500 0.750 0.000
Ti 0.500 0.250 0.000
S 0.685 0.610 0.219
S 0.315 0.390 0.781
S 0.685 0.890 0.781
S 0.315 0.110 0.219
CELL_PARAMETERS angstrom
5.458 0.000 0.000
0.000 5.991 0.000
0.000 -2.995 7.126
```

=====

Computed, not measured: a geometry-optimized Rb2TiPdS4 structure at the PBE level of DFT. Values from VASP.

Calculated values
Space group   No. 70
Raw formation energy   -1.01 eV per atom
DFT total energy   -39.6 eV/f.u.
Fermi-level density of states   8.8 states/eV/cell
Crystal system   orthorhombic

```
&SYSTEM
  ibrav = 0, nat = 16, ntyp = 4
/
ATOMIC_SPECIES
S 32.06 S.upf
Rb 85.47 Rb.upf
Ti 47.87 Ti.upf
Pd 106.42 Pd.upf
ATOMIC_POSITIONS crystal
S 0.473 0.693 0.396
S 0.618 0.193 0.104
S 0.916 0.807 0.896
S 0.277 0.807 0.104
S 0.834 0.693 0.604
S 0.561 0.307 0.604
S 0.132 0.307 0.396
S 0.189 0.193 0.896
Rb 0.178 0.000 0.644
Rb 0.822 0.000 0.356
Rb 0.572 0.500 0.856
Rb 0.928 0.500 0.144
Ti 0.750 0.500 0.500
Ti 0.000 0.000 0.000
Pd 0.500 0.000 0.000
Pd 0.250 0.500 0.500
CELL_PARAMETERS angstrom
-1.527 -5.043 2.582
5.691 -3.528 3.143
-2.806 3.385 11.620
```

=====

Results for V: 486; 455; 461; 346; 233; 481 (in Å³ per cell, following the order of the records).